The following is a GGA-PBE calculation of an optimized crystal structure of TlCu4S2Br, from Alexandria via LeMat-Bulk.

```
8
Lattice="-0.7324 -1.6229 3.6141 0.1874 -3.6854 -1.6170 9.8496 -0.3132 1.8554" Properties=species:S:1:pos:R:3 pbc="T T T"
Tl 4.9248 -0.1566 0.9277
Cu 2.1547 -1.9082 -0.4202
Cu 7.4224 -1.0591 3.2742
Cu 1.6948 -0.8770 2.1953
Cu 7.8823 -2.0903 0.6587
S 2.7144 -2.7491 1.5612
S 6.5902 -2.8724 2.2913
Br 0.0000 0.0000 0.0000
```

Summary:
total energy: -30.3 eV/cell
formation energy (no corrections): -199 meV per atom
total moment: 0.0 μB/f.u.